The following is a DFT calculation (PBEsol) of a geometry-optimized GaTc3S structure.

Summary:
N(E_F) (states/eV/cell): 5.509
Crystal system: cubic

a b c (Å): 4.2755 4.2755 4.2755
angles (deg): 90.00 90.00 90.00
Last column: nearest neighbours and their distance in Å.
Space group Pm-3m (No. 221)
Unique sites:
1 Ga 0.0000 0.0000 0.0000 (multiplicity 1)  12 Tc 3.02
2 Tc 0.0000 0.5000 0.5000 (multiplicity 3)  2 S 2.14
3 S 0.5000 0.5000 0.5000 (multiplicity 1)  6 Tc 2.14

=====

The following is a DFT calculation (PBEsol) of a geometry-optimized GaTeS3 structure.

Summary:
N(E_F) (states/eV/cell): 4.859
Crystal system: cubic

a b c (Å): 5.0325 5.0325 5.0325
angles (deg): 90.00 90.00 90.00
Last column: nearest neighbours and their distance in Å.
Space group Pm-3m (No. 221)
Unique sites:
1 Ga 0.0000 0.0000 0.0000 (multiplicity 1)  12 S 3.56
2 Te 0.5000 0.5000 0.5000 (multiplicity 1)  6 S 2.52
3 S 0.0000 0.5000 0.5000 (multiplicity 3)  2 Te 2.52

=====

no.,formation energy without anion corrections (eV per atom),raw total energy (eV for the cell shown)
1,0.41,-39.47
2,0.38,-18.10